No. 1
VASP calculation (PBE-GGA) on an optimized crystal structure of Y6Er3TmTh2.

Cell: 6.157 10.656 11.771 Å, 90.00 100.04 90.00°
Space group C2/m (No. 12)
Symmetry-distinct sites (fractional):
Y 0.247 0.000 0.249 (multiplicity 4)
Y 0.249 0.168 0.751 (multiplicity 8)
Er 0.000 0.000 0.500 (multiplicity 2)
Er 0.000 0.334 0.500 (multiplicity 4)
Tm 0.000 0.500 0.000 (multiplicity 2)
Th 0.000 0.167 0.000 (multiplicity 4)

E (eV/cell): -142.907

***

No. 2
VASP calculation (PBE-GGA) on an optimized crystal structure of Y3Er2Tm6Th.

Cell: 6.104 10.567 11.673 Å, 90.00 100.05 90.00°
Space group C2/m (No. 12)
Symmetry-distinct sites (fractional):
Y 0.000 0.000 0.000 (multiplicity 2)
Y 0.000 0.333 0.000 (multiplicity 4)
Er 0.000 0.167 0.500 (multiplicity 4)
Tm 0.247 0.500 0.252 (multiplicity 4)
Tm 0.248 0.335 0.748 (multiplicity 8)
Th 0.000 0.500 0.500 (multiplicity 2)

E (eV/cell): -124.872

***

No. 3
VASP calculation (PBE-GGA) on an optimized crystal structure of Y6ErTm3Th2.

Cell: 6.156 10.652 11.760 Å, 90.00 100.05 90.00°
Space group C2/m (No. 12)
Symmetry-distinct sites (fractional):
Y 0.247 0.000 0.249 (multiplicity 4)
Y 0.249 0.168 0.751 (multiplicity 8)
Er 0.000 0.500 0.000 (multiplicity 2)
Tm 0.000 0.000 0.500 (multiplicity 2)
Tm 0.000 0.334 0.500 (multiplicity 4)
Th 0.000 0.167 0.000 (multiplicity 4)

E (eV/cell): -142.478

***

No. 4
VASP calculation (PBE-GGA) on an optimized crystal structure of Y2Er3Tm6Th.

Cell: 6.098 10.554 11.645 Å, 90.00 100.06 90.00°
Space group C2/m (No. 12)
Symmetry-distinct sites (fractional):
Y 0.000 0.167 0.000 (multiplicity 4)
Er 0.000 0.000 0.500 (multiplicity 2)
Er 0.000 0.333 0.500 (multiplicity 4)
Tm 0.245 0.500 0.749 (multiplicity 4)
Tm 0.249 0.335 0.251 (multiplicity 8)
Th 0.000 0.500 0.000 (multiplicity 2)

E (eV/cell): -121.013

***

In order of appearance, density = 7.3; 8.3; 7.3; 8.7 g/cm³.